Compound: KSrMn2
Source: Alexandria via LeMat-Bulk
Functional: GGA-PBE
Structure: optimized geometry

The structure in extended XYZ format:
```
8
Lattice="-4.446 4.446 3.142 4.446 -4.446 3.142 4.446 4.446 -3.142" Properties=species:S:1:pos:R:3 pbc="T T T"
K 0.000 0.000 0.000
K 0.000 4.446 1.571
Sr 4.446 0.000 1.571
Sr 0.000 0.000 3.142
Mn 6.668 2.216 -0.786
Mn 2.216 2.223 0.786
Mn -2.223 2.230 2.357
Mn 2.230 2.223 3.928
```

Output
The spin magnetization is 15.88 Bohr magnetons per cell. For the formation energy, the calculation gives 1.1017 eV per atom. The calculation puts the total energy at -4.18 eV per atom.